1.
Material: ZnSi2Au
Method: DFT, PBE
State: optimized geometry

The formation energy from raw total energies comes out at 0.2854 eV per atom. The density of states at the Fermi level comes out at 1.63 states/eV/f.u.

a = 3.6619 Å, b = 3.6619 Å, c = 5.0105 Å
α = 90.00°, β = 90.00°, γ = 90.00°
Closest atoms and distances in Å follow each position.
Space group P4/mmm (No. 123)
One atom of each set of equivalent atoms:
Zn (0.0000, 0.0000, 0.0000) x1  4 Au 2.59
Si (0.0000, 0.5000, 0.5000) x2  4 Si 2.59
Au (0.5000, 0.5000, 0.0000) x1  4 Zn 2.59



2.
Material: Zn4SiAu
Method: DFT, PBE
State: optimized geometry

The formation energy from raw total energies comes out at 0.1639 eV per atom. The density of states at the Fermi level comes out at 1.37 states/eV/f.u.

a = 7.2607 Å, b = 7.2607 Å, c = 7.2607 Å
α = 90.00°, β = 90.00°, γ = 90.00°
Closest atoms and distances in Å follow each position.
Space group F-43m (No. 216)
One atom of each set of equivalent atoms:
Zn (0.1250, 0.1250, 0.1250) x16  6 Zn 2.57
Si (0.0000, 0.0000, 0.5000) x4  12 Zn 3.01, 4 Au 3.14
Au (0.2500, 0.2500, 0.7500) x4  12 Zn 3.01, 4 Si 3.14



3.
Material: ZnSi2Au
Method: DFT, PBE
State: optimized geometry

The formation energy from raw total energies comes out at 0.2800 eV per atom. The density of states at the Fermi level comes out at 1.13 states/eV/f.u.

a = 3.6323 Å, b = 4.7118 Å, c = 7.6713 Å
α = 90.00°, β = 90.00°, γ = 90.00°
Closest atoms and distances in Å follow each position.
Space group Imm2 (No. 44)
One atom of each set of equivalent atoms:
Zn (0.0000, 0.0000, 0.0000) x2  2 Si 2.64, 4 Au 2.76-2.94
Si (0.0000, 0.0000, 0.5358) x2  2 Si 2.45, 2 Au 2.73
Si (0.0000, 0.5000, 0.2496) x2  2 Si 2.45, 2 Zn 2.64
Au (0.0000, 0.5000, 0.7709) x2  8 Si 2.73-2.98, 4 Zn 2.76-2.94



4.
Material: Zn2SiAu8
Method: DFT, PBE
State: optimized geometry

The formation energy from raw total energies comes out at -0.0601 eV per atom. For the distance to the lowest polymorph of the same formula, the calculation gives 5 meV per atom. The density of states at the Fermi level comes out at 3.38 states/eV/f.u.

a = 7.1784 Å, b = 13.0121 Å, c = 4.7319 Å
α = 90.00°, β = 116.53°, γ = 90.00°
Closest atoms and distances in Å follow each position.
Space group Cm (No. 8)
One atom of each set of equivalent atoms:
Zn (0.0000, 0.1886, 0.0000) x4  8 Au 2.67-2.98
Si (0.4619, 0.0000, 0.7465) x2  7 Au 2.46-2.69
Au (0.1217, 0.1101, 0.5879) x4  1 Si 2.64, 2 Zn 2.67-2.72, 6 Au 2.77-2.95
Au (0.1874, 0.3717, 0.1437) x4  1 Si 2.49, 2 Zn 2.67-2.73
Au (0.3037, 0.0000, 0.1659) x2  2 Si 2.46-2.69
Au (0.3171, 0.5000, 0.7360) x2  1 Si 2.57, 2 Zn 2.80
Au (0.4461, 0.1955, 0.4735) x4  6 Au 2.77-2.99, 3 Zn 2.79-2.98, 1 Si 2.83



5.
Material: ZnSi2Au
Method: DFT, PBE
State: optimized geometry

The formation energy from raw total energies comes out at 0.1078 eV per atom. The density of states at the Fermi level comes out at 0.77 states/eV/f.u.

a = 6.8694 Å, b = 2.7897 Å, c = 8.1890 Å
α = 90.00°, β = 114.24°, γ = 90.00°
Closest atoms and distances in Å follow each position.
Space group Cm (No. 8)
One atom of each set of equivalent atoms:
Zn (0.0000, 0.0000, 0.0000) x2  2 Si 2.58, 3 Au 2.68-2.78, 2 Zn 2.79
Si (0.3086, 0.0000, 0.7139) x2  3 Si 2.35-2.47, 2 Zn 2.58
Si (0.4986, 0.0000, 0.5321) x2  3 Si 2.35-2.47, 2 Au 2.56
Au (0.3184, 0.5000, 0.2469) x2  2 Si 2.56, 3 Zn 2.68-2.78, 2 Au 2.79



6.
Material: ZnSi2Au
Method: DFT, PBE
State: optimized geometry

The formation energy from raw total energies comes out at 0.1806 eV per atom. The density of states at the Fermi level comes out at 1.50 states/eV/f.u.

a = 5.3172 Å, b = 5.3576 Å, c = 9.3729 Å
α = 90.00°, β = 90.00°, γ = 90.00°
Closest atoms and distances in Å follow each position.
Space group Fmmm (No. 69)
One atom of each set of equivalent atoms:
Zn (0.0000, 0.0000, 0.0000) x4  4 Au 2.66-2.68, 4 Si 2.69
Si (0.2500, 0.0000, 0.2500) x8  4 Si 2.66-2.68, 2 Zn 2.69, 2 Au 2.69
Au (0.0000, 0.0000, 0.5000) x4  4 Zn 2.66-2.68, 4 Si 2.69